(1)
The following is a PBE calculation of Dy3TmAl3 after structural relaxation, from Alexandria via LeMat-Bulk.

Its volume is 25.60 A^3/atom.

It has space group Cmmm (No. 65), with a = 10.1387 Å, b = 10.2454 Å, c = 6.9015 Å, α = 90.00°, β = 90.00° and γ = 90.00°. The distinct sites, in fractional coordinates, are Dy at (0.0000, 0.2442, 0.0000), Dy at (0.2367, 0.0000, 0.5000), Dy at (0.2470, 0.0000, 0.0000), Tm at (0.0000, 0.2477, 0.5000), Al at (0.0000, 0.5000, 0.2583) and Al at (0.2500, 0.2500, 0.2543).

(2)
The following is a PBE calculation of DyTm8Al2 after structural relaxation, from Alexandria via LeMat-Bulk.

For the energy above the most stable polymorph in this dataset, the calculation gives 0.127 eV/atom. Its volume is 28.82 A^3/atom.

It has space group C2/m (No. 12), with a = 8.6945 Å, b = 14.4617 Å, c = 5.4681 Å, α = 90.00°, β = 112.73° and γ = 90.00°. The distinct sites, in fractional coordinates, are Dy at (0.0000, 0.0000, 0.0000), Tm at (0.0000, 0.2228, 0.0000), Tm at (0.0972, 0.5000, 0.7966), Tm at (0.2076, 0.1186, 0.6130) and Al at (0.0000, 0.3079, 0.5000).

(3)
The following is a PBE calculation of Dy8Tm6Al after structural relaxation, from Alexandria via LeMat-Bulk.

Its volume is 30.70 A^3/atom.

It has space group P-3 (No. 147), with a = 9.3019 Å, b = 9.3019 Å, c = 6.1455 Å, α = 90.00°, β = 90.00° and γ = 120.00°. The distinct sites, in fractional coordinates, are Dy at (0.0430, 0.2637, 0.3021), Dy at (0.3333, 0.6667, 0.3029), Tm at (0.0947, 0.4572, 0.8096) and Al at (0.0000, 0.0000, 0.0000).

(4)
The following is a PBE calculation of Dy4TmAl after structural relaxation, from Alexandria via LeMat-Bulk.

For the energy above the most stable polymorph in this dataset, the calculation gives 0.083 eV/atom. Its volume is 29.25 A^3/atom.

It has space group C2/c (No. 15), with a = 8.6733 Å, b = 13.7595 Å, c = 6.2069 Å, α = 90.00°, β = 108.60° and γ = 90.00°. The distinct sites, in fractional coordinates, are Dy at (0.0989, 0.1854, 0.0435), Dy at (0.2192, 0.3827, 0.3777), Tm at (0.0000, 0.4088, 0.7500) and Al at (0.0000, 0.0006, 0.2500).

(5)
The following is a PBE calculation of Dy4TmAl5 after structural relaxation, from Alexandria via LeMat-Bulk.

Its volume is 23.12 A^3/atom.

It has space group P4/mmm (No. 123), with a = 3.5753 Å, b = 3.5753 Å, c = 18.0879 Å, α = 90.00°, β = 90.00° and γ = 90.00°. The distinct sites, in fractional coordinates, are Dy at (0.0000, 0.0000, 0.1007), Dy at (0.0000, 0.0000, 0.3022), Tm at (0.0000, 0.0000, 0.5000), Al at (0.5000, 0.5000, 0.0000), Al at (0.5000, 0.5000, 0.2013) and Al at (0.5000, 0.5000, 0.4034).

(6)
The following is a PBE calculation of Dy2TmAl9 after structural relaxation, from Alexandria via LeMat-Bulk.

For the energy above the most stable polymorph in this dataset, the calculation gives 0.072 eV/atom. Its volume is 19.49 A^3/atom.

It has space group R-3m (No. 166, hexagonal axes), with a = 5.5578 Å, b = 5.5578 Å, c = 26.2314 Å, α = 90.00°, β = 90.00° and γ = 120.00°. The distinct sites, in fractional coordinates, are Dy at (0.0000, 0.0000, 0.1422), Tm at (0.0000, 0.0000, 0.0000), Al at (0.0000, 0.0000, 0.3353), Al at (0.0000, 0.0000, 0.5000) and Al at (0.0075, 0.5037, 0.9166).

(7)
The following is a PBE calculation of DyTm4Al2 after structural relaxation, from Alexandria via LeMat-Bulk.

For the energy above the most stable polymorph in this dataset, the calculation gives 0.391 eV/atom. Its volume is 27.96 A^3/atom.

It has space group I4/mmm (No. 139), with a = 5.5678 Å, b = 5.5678 Å, c = 12.6267 Å, α = 90.00°, β = 90.00° and γ = 90.00°. The distinct sites, in fractional coordinates, are Dy at (0.0000, 0.0000, 0.0000), Tm at (0.0000, 0.5000, 0.0000), Tm at (0.0000, 0.5000, 0.2500) and Al at (0.0000, 0.0000, 0.3840).

(8)
The following is a PBE calculation of DyTm2Al after structural relaxation, from Alexandria via LeMat-Bulk.

For the energy above the most stable polymorph in this dataset, the calculation gives 0.005 eV/atom. Its volume is 26.18 A^3/atom.

It has space group P4/mmm (No. 123), with a = 4.7077 Å, b = 4.7077 Å, c = 4.7257 Å, α = 90.00°, β = 90.00° and γ = 90.00°. The distinct sites, in fractional coordinates, are Dy at (0.0000, 0.0000, 0.0000), Tm at (0.0000, 0.5000, 0.5000) and Al at (0.5000, 0.5000, 0.0000).

(9)
The following is a PBE calculation of DyTm2Al after structural relaxation, from Alexandria via LeMat-Bulk.

For the energy above the most stable polymorph in this dataset, the calculation gives 0.000 eV/atom. Its volume is 26.03 A^3/atom.

It has space group Amm2 (No. 38), with a = 5.2738 Å, b = 6.7602 Å, c = 11.6810 Å, α = 90.00°, β = 90.00° and γ = 90.00°. The distinct sites, in fractional coordinates, are Dy at (0.0000, 0.2386, 0.0000), Tm at (0.0000, 0.0000, 0.7606), Tm at (0.5000, 0.0000, 0.4140), Tm at (0.5000, 0.2393, 0.1748), Al at (0.0000, 0.0000, 0.2545) and Al at (0.5000, 0.0000, 0.9191).

(10)
The following is a PBE calculation of Dy8TmAl2 after structural relaxation, from Alexandria via LeMat-Bulk.

For the energy above the most stable polymorph in this dataset, the calculation gives 0.114 eV/atom. Its volume is 29.74 A^3/atom.

It has space group C2/m (No. 12), with a = 8.7774 Å, b = 14.6303 Å, c = 5.5410 Å, α = 90.00°, β = 113.14° and γ = 90.00°. The distinct sites, in fractional coordinates, are Dy at (0.0000, 0.2226, 0.0000), Dy at (0.0980, 0.5000, 0.7962), Dy at (0.2067, 0.1183, 0.6117), Tm at (0.0000, 0.0000, 0.0000) and Al at (0.0000, 0.3079, 0.5000).

(11)
The following is a PBE calculation of DyTm2Al after structural relaxation, from Alexandria via LeMat-Bulk.

For the energy above the most stable polymorph in this dataset, the calculation gives 0.003 eV/atom. Its volume is 26.89 A^3/atom.

It has space group P4/mmm (No. 123), with a = 3.4808 Å, b = 3.4808 Å, c = 8.8777 Å, α = 90.00°, β = 90.00° and γ = 90.00°. The distinct sites, in fractional coordinates, are Dy at (0.0000, 0.0000, 0.0000), Tm at (0.5000, 0.5000, 0.2861) and Al at (0.0000, 0.0000, 0.5000).

(12)
The following is a PBE calculation of Dy9Tm4Al11 after structural relaxation, from Alexandria via LeMat-Bulk.

Its volume is 23.79 A^3/atom.

It has space group Cmmm (No. 65), with a = 15.3017 Å, b = 22.2314 Å, c = 3.3571 Å, α = 90.00°, β = 90.00° and γ = 90.00°. The distinct sites, in fractional coordinates, are Dy at (0.0000, 0.0000, 0.0000), Dy at (0.1092, 0.4053, 0.0000), Dy at (0.1123, 0.2259, 0.0000), Tm at (0.1743, 0.0832, 0.0000), Al at (0.0000, 0.1214, 0.5000), Al at (0.0000, 0.3137, 0.5000), Al at (0.0000, 0.5000, 0.5000), Al at (0.2057, 0.5000, 0.5000) and Al at (0.2273, 0.3149, 0.5000).

(13)
The following is a PBE calculation of DyTm2Al3 after structural relaxation, from Alexandria via LeMat-Bulk.

For the energy above the most stable polymorph in this dataset, the calculation gives 0.000 eV/atom. Its volume is 22.67 A^3/atom.

It has space group P4/mmm (No. 123), with a = 3.5599 Å, b = 3.5599 Å, c = 10.7328 Å, α = 90.00°, β = 90.00° and γ = 90.00°. The distinct sites, in fractional coordinates, are Dy at (0.0000, 0.0000, 0.0000), Tm at (0.0000, 0.0000, 0.3354), Al at (0.5000, 0.5000, 0.1714) and Al at (0.5000, 0.5000, 0.5000).

(14)
The following is a PBE calculation of DyTmAl after structural relaxation, from Alexandria via LeMat-Bulk.

For the energy above the most stable polymorph in this dataset, the calculation gives 0.000 eV/atom. Its volume is 25.94 A^3/atom.

It has space group I4mm (No. 107), with a = 3.4204 Å, b = 3.4204 Å, c = 13.3032 Å, α = 90.00°, β = 90.00° and γ = 90.00°. The distinct sites, in fractional coordinates, are Dy at (0.0000, 0.0000, 0.0000), Tm at (0.0000, 0.0000, 0.7013) and Al at (0.0000, 0.0000, 0.3488).

(15)
The following is a PBE calculation of Dy4TmAl2 after structural relaxation, from Alexandria via LeMat-Bulk.

For the energy above the most stable polymorph in this dataset, the calculation gives 0.000 eV/atom. Its volume is 27.88 A^3/atom.

It has space group P2_1/c (No. 14), with a = 5.9740 Å, b = 10.2904 Å, c = 6.7875 Å, α = 90.00°, β = 110.71° and γ = 90.00°. The distinct sites, in fractional coordinates, are Dy at (0.0040, 0.1597, 0.4992), Dy at (0.4963, 0.7083, 0.4990), Tm at (0.0000, 0.0000, 0.0000) and Al at (0.4882, 0.5008, 0.1836).

(16)
The following is a PBE calculation of DyTmAl after structural relaxation, from Alexandria via LeMat-Bulk.

For the energy above the most stable polymorph in this dataset, the calculation gives 0.117 eV/atom. Its volume is 27.06 A^3/atom.

It has space group C2/m (No. 12), with a = 6.3578 Å, b = 6.3570 Å, c = 8.0344 Å, α = 90.00°, β = 90.12° and γ = 90.00°. The distinct sites, in fractional coordinates, are Dy at (0.0000, 0.2500, 0.0000), Tm at (0.2489, 0.0000, 0.6427) and Al at (0.2489, 0.5000, 0.7316).

(17)
The following is a PBE calculation of DyTm4Al2 after structural relaxation, from Alexandria via LeMat-Bulk.

For the energy above the most stable polymorph in this dataset, the calculation gives 0.000 eV/atom. Its volume is 27.30 A^3/atom.

It has space group P2_1/c (No. 14), with a = 6.0627 Å, b = 10.2799 Å, c = 6.6556 Å, α = 90.00°, β = 112.89° and γ = 90.00°. The distinct sites, in fractional coordinates, are Dy at (0.0000, 0.0000, 0.0000), Tm at (0.0031, 0.1623, 0.4997), Tm at (0.4968, 0.7132, 0.4991) and Al at (0.4688, 0.5007, 0.1818).

(18)
The following is a PBE calculation of DyTm3Al8 after structural relaxation, from Alexandria via LeMat-Bulk.

For the energy above the most stable polymorph in this dataset, the calculation gives 0.009 eV/atom. Its volume is 19.86 A^3/atom.

It has space group P3m1 (No. 156), with a = 5.5185 Å, b = 5.5185 Å, c = 9.0377 Å, α = 90.00°, β = 90.00° and γ = 120.00°. The distinct sites, in fractional coordinates, are Dy at (0.0000, 0.0000, 0.0000), Tm at (0.0000, 0.0000, 0.3651), Tm at (0.6667, 0.3333, 0.4994), Tm at (0.6667, 0.3333, 0.8645), Al at (0.1620, 0.3240, 0.6817), Al at (0.3333, 0.6667, 0.4330), Al at (0.3333, 0.6667, 0.9320) and Al at (0.5046, 0.0093, 0.1835).

(19)
The following is a PBE calculation of Dy5Tm2Al4 after structural relaxation, from Alexandria via LeMat-Bulk.

Its volume is 27.16 A^3/atom.

It has space group Immm (No. 71), with a = 3.3217 Å, b = 9.8981 Å, c = 18.1745 Å, α = 90.00°, β = 90.00° and γ = 90.00°. The distinct sites, in fractional coordinates, are Dy at (0.0000, 0.0000, 0.0000), Dy at (0.0000, 0.1647, 0.3190), Tm at (0.0000, 0.5000, 0.3297), Al at (0.0000, 0.2079, 0.5000) and Al at (0.0000, 0.5000, 0.0699).

(20)
The following is a PBE calculation of Dy3Tm4Al after structural relaxation, from Alexandria via LeMat-Bulk.

Its volume is 28.82 A^3/atom.

It has space group P4/mmm (No. 123), with a = 3.4943 Å, b = 3.4943 Å, c = 18.8803 Å, α = 90.00°, β = 90.00° and γ = 90.00°. The distinct sites, in fractional coordinates, are Dy at (0.0000, 0.0000, 0.0000), Dy at (0.0000, 0.0000, 0.2653), Tm at (0.5000, 0.5000, 0.1330), Tm at (0.5000, 0.5000, 0.3997) and Al at (0.0000, 0.0000, 0.5000).

(21)
The following is a PBE calculation of DyTm4Al4 after structural relaxation, from Alexandria via LeMat-Bulk.

Its volume is 24.48 A^3/atom.

It has space group P4_2/n (No. 86, origin choice 2), with a = 8.8691 Å, b = 8.8691 Å, c = 5.6012 Å, α = 90.00°, β = 90.00° and γ = 90.00°. The distinct sites, in fractional coordinates, are Dy at (0.2500, 0.2500, 0.2500), Tm at (0.0894, 0.8249, 0.6499) and Al at (0.0547, 0.1544, 0.8364).

In eV/atom, the energy of formation values for the records above are, in order, -0.26 0.02 0.10 -0.04 -0.39 -0.35 0.31 -0.20 -0.20 0.01 -0.20 -0.32 -0.39 -0.26 -0.07 -0.14 -0.08 -0.50 0.06 -0.09 -0.15.
In μB per formula unit, the total moment values for the records above are, in order, 0.00 0.00 0.00 0.00 0.00 0.00 0.00 0.00 0.00 0.00 0.00 0.00 0.00 0.00 0.00 0.00 0.00 0.00 0.00 0.00 0.00.
In eV/atom, the VASP energy values for the records above are, in order, -4.480 -4.336 -4.390 -4.472 -4.553 -4.292 -3.969 -4.517 -4.522 -4.425 -4.519 -4.510 -4.521 -4.530 -4.412 -4.414 -4.360 -4.493 -4.202 -4.516 -4.313.